# Cr2CoTe

Crystalline Cr2CoTe at its relaxed geometry (GGA-PBE, Alexandria via LeMat-Bulk).

Output
E_form (uncorrected), eV/atom: 0.38
Crystal system: tetragonal

Cell lengths 3.1732, 3.1732, 5.8289 Å; angles 90.00, 90.00, 90.00 degrees
Closest atoms and distances in Å follow each position.
Fractional positions:
1 Cr 0.0000 0.0000 0.0000  4 Cr 2.57, 4 Co 2.64
2 Cr 0.5000 0.5000 0.2156  4 Cr 2.57, 1 Co 2.66, 4 Te 2.81
3 Co 0.5000 0.5000 0.7599  5 Cr 2.64-2.66, 4 Te 2.69
4 Te 0.0000 0.0000 0.5050  4 Co 2.69, 6 Cr 2.81-2.94

# CrCo2Te

Crystalline CrCo2Te at its relaxed geometry (GGA-PBE, Alexandria via LeMat-Bulk).

Output
E_form (uncorrected), eV/atom: 0.57
Crystal system: tetragonal

Cell lengths 3.8388, 3.8388, 17.0940 Å; angles 90.00, 90.00, 90.00 degrees
Closest atoms and distances in Å follow each position.
Fractional positions:
1 Cr 0.0000 0.0000 0.0000  4 Co 2.48, 4 Te 2.71
2 Cr 0.0000 0.5000 0.2500  4 Co 2.48, 4 Te 2.71
3 Cr 0.5000 0.0000 0.7500  4 Co 2.48, 4 Te 2.71
4 Cr 0.5000 0.5000 0.5000  4 Co 2.48, 4 Te 2.71
5 Co 0.2118 0.2500 0.1250  2 Cr 2.48, 2 Co 2.52, 2 Te 2.59
6 Co 0.2500 0.7118 0.3750  2 Cr 2.48, 2 Co 2.52, 2 Te 2.59
7 Co 0.2500 0.7882 0.8750  2 Cr 2.48, 2 Co 2.52, 2 Te 2.59
8 Co 0.2882 0.2500 0.6250  2 Cr 2.48, 2 Co 2.52, 2 Te 2.59
9 Co 0.7118 0.7500 0.6250  2 Cr 2.48, 2 Co 2.52, 2 Te 2.59
10 Co 0.7500 0.2118 0.8750  2 Cr 2.48, 2 Co 2.52, 2 Te 2.59
11 Co 0.7500 0.2882 0.3750  2 Cr 2.48, 2 Co 2.52, 2 Te 2.59
12 Co 0.7882 0.7500 0.1250  2 Cr 2.48, 2 Co 2.52, 2 Te 2.59
13 Te 0.0000 0.0000 0.5000  4 Co 2.59, 4 Cr 2.71
14 Te 0.0000 0.5000 0.7500  4 Co 2.59, 4 Cr 2.71
15 Te 0.5000 0.0000 0.2500  4 Co 2.59, 4 Cr 2.71
16 Te 0.5000 0.5000 0.0000  4 Co 2.59, 4 Cr 2.71

# Cr2CoTe

Crystalline Cr2CoTe at its relaxed geometry (GGA-PBE, Alexandria via LeMat-Bulk).

Output
E_form (uncorrected), eV/atom: 0.61
Crystal system: trigonal

Cell lengths 2.9899, 2.9899, 23.1133 Å; angles 90.00, 90.00, 120.00 degrees
Closest atoms and distances in Å follow each position.
Fractional positions:
1 Cr 0.0000 0.0000 0.0000  3 Cr 2.35
2 Cr 0.0000 0.0000 0.2645  3 Cr 2.35, 3 Co 2.51
3 Cr 0.3333 0.6667 0.6667  3 Cr 2.35
4 Cr 0.3333 0.6667 0.9311  3 Cr 2.35, 3 Co 2.51
5 Cr 0.6667 0.3333 0.3333  3 Cr 2.35
6 Cr 0.6667 0.3333 0.5978  3 Cr 2.35, 3 Co 2.51
7 Co 0.0000 0.0000 0.5189  3 Cr 2.51, 3 Te 2.70
8 Co 0.3333 0.6667 0.1855  3 Cr 2.51, 3 Te 2.70
9 Co 0.6667 0.3333 0.8522  3 Cr 2.51, 3 Te 2.70
10 Te 0.0000 0.0000 0.7626  3 Co 2.70, 3 Cr 2.81, 6 Te 2.99
11 Te 0.3333 0.6667 0.4293  3 Co 2.70, 3 Cr 2.81, 6 Te 2.99
12 Te 0.6667 0.3333 0.0959  3 Co 2.70, 3 Cr 2.81, 6 Te 2.99

# CrCoTe3

Crystalline CrCoTe3 at its relaxed geometry (GGA-PBE, Alexandria via LeMat-Bulk).

Output
E above lowest polymorph, meV/atom: 0
E_form (uncorrected), eV/atom: 0.98
Crystal system: cubic

Cell lengths 5.0493, 5.0493, 5.0493 Å; angles 90.00, 90.00, 90.00 degrees
Closest atoms and distances in Å follow each position.
Fractional positions:
1 Cr 0.0000 0.0000 0.0000  6 Te 2.52
2 Co 0.5000 0.5000 0.5000  12 Te 3.57
3 Te 0.0000 0.0000 0.5000  2 Cr 2.52
4 Te 0.0000 0.5000 0.0000  2 Cr 2.52
5 Te 0.5000 0.0000 0.0000  2 Cr 2.52

# Cr4CoTe

Crystalline Cr4CoTe at its relaxed geometry (GGA-PBE, Alexandria via LeMat-Bulk).

Output
E_form (uncorrected), eV/atom: 0.51
Crystal system: cubic

Cell lengths 4.8218, 4.8218, 4.8218 Å; angles 60.00, 60.00, 60.00 degrees
Closest atoms and distances in Å follow each position.
Fractional positions:
1 Cr 0.3761 0.3761 0.3761  6 Cr 2.39-2.43
2 Cr 0.3761 0.3761 0.8716  6 Cr 2.39-2.43
3 Cr 0.3761 0.8716 0.3761  6 Cr 2.39-2.43
4 Cr 0.8716 0.3761 0.3761  6 Cr 2.39-2.43
5 Co 0.7500 0.7500 0.7500  12 Cr 2.82, 4 Te 2.95
6 Te 0.0000 0.0000 0.0000  12 Cr 2.83, 4 Co 2.95

# CrCoTe

Crystalline CrCoTe at its relaxed geometry (GGA-PBE, Alexandria via LeMat-Bulk).

Output
E above lowest polymorph, meV/atom: 115
E_form (uncorrected), eV/atom: 0.19
Crystal system: triclinic

Cell lengths 3.7949, 4.5868, 8.2588 Å; angles 82.51, 89.84, 65.57 degrees
Closest atoms and distances in Å follow each position.
Fractional positions:
1 Cr 0.1289 0.2429 0.4438  3 Co 2.16-2.29
2 Cr 0.8711 0.7571 0.5562  3 Co 2.16-2.29
3 Co 0.3786 0.7440 0.4014  3 Cr 2.16-2.29
4 Co 0.6214 0.2560 0.5986  3 Cr 2.16-2.29
5 Te 0.1052 0.2859 0.7969  2 Co 2.52, 1 Cr 2.59
6 Te 0.8948 0.7141 0.2031  2 Co 2.52, 1 Cr 2.59